# 1
CaY2Sc | GGA-PBE | relaxed

POSCAR file:
```
CaY2Sc
1.0
1.9649 -2.8355 0.0000
1.9649 2.8355 0.0000
0.0000 0.0000 11.5856
Ca Y Sc
1 2 1
direct
0.0000 0.0000 0.0000 Ca
0.0000 0.0000 0.5235 Y
0.5000 0.5000 0.2749 Y
0.5000 0.5000 0.7479 Sc
```

Summary:
The calculation puts the total energy at -20.60 eV per cell. The calculation puts the formation energy at 0.17 eV per atom. The symmetry is Cmm2, No. 35. The magnetization comes out at 0.0 μB per formula unit.



# 2
CaY2Sc | GGA-PBE | relaxed

POSCAR file:
```
CaY2Sc
1.0
0.0000 3.9975 3.9975
3.9975 0.0000 3.9975
3.9975 3.9975 0.0000
Ca Y Sc
1 2 1
direct
0.0000 0.0000 0.0000 Ca
0.5000 0.5000 0.5000 Y
0.7500 0.7500 0.7500 Y
0.2500 0.2500 0.2500 Sc
```

Summary:
The calculation puts the total energy at -20.44 eV per cell. The calculation puts the formation energy at 0.21 eV per atom. The symmetry is F-43m, No. 216. The magnetization comes out at 1.2 μB per formula unit.



# 3
CaYSc3 | GGA-PBE | relaxed

POSCAR file:
```
CaYSc3
1.0
5.4307 0.0000 0.0000
0.0000 5.4307 0.0000
0.0000 0.0000 5.4307
Ca Y Sc
1 1 3
direct
0.0000 0.0000 0.0000 Ca
0.5000 0.5000 0.5000 Y
0.0000 0.5000 0.5000 Sc
0.5000 0.0000 0.5000 Sc
0.5000 0.5000 0.0000 Sc
```

Summary:
The calculation puts the total energy at -23.91 eV per cell. The calculation puts the formation energy at 0.71 eV per atom. The symmetry is Pm-3m, No. 221. The magnetization comes out at 1.3 μB per formula unit.



# 4
CaYSc2 | GGA-PBE | relaxed

POSCAR file:
```
CaYSc2
1.0
-2.4702 2.4702 4.9009
2.4702 -2.4702 4.9009
2.4702 2.4702 -4.9009
Ca Y Sc
1 1 2
direct
0.0000 0.0000 0.0000 Ca
0.5000 0.5000 0.0000 Y
0.2500 0.7500 0.5000 Sc
0.7500 0.2500 0.5000 Sc
```

Summary:
The calculation puts the total energy at -20.31 eV per cell. The calculation puts the formation energy at 0.21 eV per atom. The symmetry is I4/mmm, No. 139. The magnetization comes out at 1.9 μB per formula unit.



# 5
CaYSc2 | GGA-PBE | relaxed

POSCAR file:
```
CaYSc2
1.0
-1.9468 2.7699 5.4962
1.9468 -2.7699 5.4962
1.9468 2.7699 -5.4962
Ca Y Sc
1 1 2
direct
0.0000 0.0000 0.0000 Ca
0.5000 0.5000 0.0000 Y
0.2494 0.7494 0.5000 Sc
0.7506 0.2506 0.5000 Sc
```

Summary:
The calculation puts the total energy at -20.24 eV per cell. The calculation puts the formation energy at 0.22 eV per atom. The symmetry is Immm, No. 71. The magnetization comes out at 0.1 μB per formula unit.



# 6
CaY2Sc | GGA-PBE | relaxed

POSCAR file:
```
CaY2Sc
1.0
-1.8871 2.9185 5.8419
1.8871 -2.9185 5.8419
1.8871 2.9185 -5.8419
Ca Y Sc
1 2 1
direct
0.0000 0.0000 0.0000 Ca
0.2730 0.7730 0.5000 Y
0.7270 0.2270 0.5000 Y
0.5000 0.5000 0.0000 Sc
```

Summary:
The calculation puts the total energy at -20.62 eV per cell. The calculation puts the formation energy at 0.16 eV per atom. The symmetry is Immm, No. 71. The magnetization comes out at 0.0 μB per formula unit.



# 7
CaYSc2 | GGA-PBE | relaxed

POSCAR file:
```
CaYSc2
1.0
-2.2914 2.2914 11.6627
2.2914 -2.2914 11.6627
2.2914 2.2914 -11.6627
Ca Y Sc
2 2 4
direct
0.0000 0.0000 0.0000 Ca
0.7500 0.2500 0.5000 Ca
0.2500 0.7500 0.5000 Y
0.5000 0.5000 0.0000 Y
0.1342 0.6250 0.0092 Sc
0.3750 0.3842 0.5092 Sc
0.6158 0.1250 0.9908 Sc
0.8750 0.8658 0.4908 Sc
```

Summary:
The calculation puts the total energy at -38.03 eV per cell. The calculation puts the formation energy at 0.53 eV per atom. The symmetry is I-42d, No. 122. The magnetization comes out at 2.2 μB per formula unit.



# 8
CaY2Sc | GGA-PBE | relaxed

POSCAR file:
```
CaY2Sc
1.0
-1.9406 2.8559 5.7382
1.9406 -2.8559 5.7382
1.9406 2.8559 -5.7382
Ca Y Sc
1 2 1
direct
0.0000 0.0000 0.0000 Ca
0.4693 0.4693 0.0000 Y
0.7367 0.2367 0.5000 Y
0.2360 0.7360 0.5000 Sc
```

Summary:
The calculation puts the total energy at -20.60 eV per cell. The calculation puts the formation energy at 0.17 eV per atom. The symmetry is Imm2, No. 44. The magnetization comes out at 0.0 μB per formula unit.



# 9
CaYSc2 | GGA-PBE | relaxed

POSCAR file:
```
CaYSc2
1.0
3.7584 0.0000 0.0000
0.0000 3.7584 0.0000
0.0000 0.0000 8.6949
Ca Y Sc
1 1 2
direct
0.0000 0.0000 0.0000 Ca
0.5000 0.5000 0.6853 Y
0.0000 0.0000 0.4620 Sc
0.5000 0.5000 0.2779 Sc
```

Summary:
The calculation puts the total energy at -20.72 eV per cell. The calculation puts the formation energy at 0.10 eV per atom. The symmetry is P4mm, No. 99. The magnetization comes out at 0.0 μB per formula unit.



# 10
CaY2Sc | GGA-PBE | relaxed

POSCAR file:
```
CaY2Sc
1.0
-2.5110 2.5110 5.0307
2.5110 -2.5110 5.0307
2.5110 2.5110 -5.0307
Ca Y Sc
1 2 1
direct
0.0000 0.0000 0.0000 Ca
0.5000 0.5000 0.0000 Y
0.7500 0.2500 0.5000 Y
0.2500 0.7500 0.5000 Sc
```

Summary:
The calculation puts the total energy at -20.57 eV per cell. The calculation puts the formation energy at 0.17 eV per atom. The symmetry is I-4m2, No. 119. The magnetization comes out at 0.0 μB per formula unit.



# 11
CaY2Sc | GGA-PBE | relaxed

POSCAR file:
```
CaY2Sc
1.0
3.5359 0.0000 0.0000
0.0000 5.0065 0.0000
-0.0073 0.0000 7.2253
Ca Y Sc
1 2 1
direct
0.0000 0.0000 0.0000 Ca
0.4990 0.5000 0.7259 Y
0.9992 0.0000 0.4860 Y
0.4999 0.5000 0.2621 Sc
```

Summary:
The calculation puts the total energy at -20.69 eV per cell. The calculation puts the formation energy at 0.14 eV per atom. The symmetry is Pm, No. 6. The magnetization comes out at 0.0 μB per formula unit.



# 12
CaY2Sc | GGA-PBE | relaxed

POSCAR file:
```
CaY2Sc
1.0
5.8520 -1.7737 0.0000
5.8520 1.7737 0.0000
-1.1320 0.0000 6.1267
Ca Y Sc
1 2 1
direct
0.0000 0.0000 0.0000 Ca
0.2397 0.2397 0.7316 Y
0.7603 0.7603 0.2684 Y
0.5000 0.5000 0.5000 Sc
```

Summary:
The calculation puts the total energy at -20.75 eV per cell. The calculation puts the formation energy at 0.13 eV per atom. The symmetry is C2/m, No. 12. The magnetization comes out at 0.0 μB per formula unit.



# 13
CaYSc2 | GGA-PBE | relaxed

POSCAR file:
```
CaYSc2
1.0
-1.8436 2.8498 5.6851
1.8436 -2.8498 5.6851
1.8436 2.8498 -5.6851
Ca Y Sc
1 1 2
direct
0.0000 0.0000 0.0000 Ca
0.7198 0.2198 0.5000 Y
0.2565 0.7565 0.5000 Sc
0.4754 0.4754 0.0000 Sc
```

Summary:
The calculation puts the total energy at -20.41 eV per cell. The calculation puts the formation energy at 0.18 eV per atom. The symmetry is Imm2, No. 44. The magnetization comes out at 0.5 μB per formula unit.



# 14
CaY3Sc | GGA-PBE | relaxed

POSCAR file:
```
CaY3Sc
1.0
5.6765 0.0000 0.0000
0.0000 5.6765 0.0000
0.0000 0.0000 5.6765
Ca Y Sc
1 3 1
direct
0.0000 0.0000 0.0000 Ca
0.0000 0.5000 0.5000 Y
0.5000 0.0000 0.5000 Y
0.5000 0.5000 0.0000 Y
0.5000 0.5000 0.5000 Sc
```

Summary:
The calculation puts the total energy at -25.38 eV per cell. The calculation puts the formation energy at 0.47 eV per atom. The symmetry is Pm-3m, No. 221. The magnetization comes out at 0.0 μB per formula unit.



# 15
CaY2Sc | GGA-PBE | relaxed

POSCAR file:
```
CaY2Sc
1.0
1.7765 1.0257 11.7531
-1.7765 1.0257 11.7531
0.0000 -2.0513 11.7531
Ca Y Sc
1 2 1
direct
0.0000 0.0000 0.0000 Ca
0.5750 0.5750 0.5750 Y
0.7574 0.7574 0.7574 Y
0.1660 0.1660 0.1660 Sc
```

Summary:
The calculation puts the total energy at -20.91 eV per cell. The calculation puts the formation energy at 0.09 eV per atom. The symmetry is R3m, No. 160. The magnetization comes out at 0.0 μB per formula unit.



# 16
CaYSc3 | GGA-PBE | relaxed

POSCAR file:
```
CaYSc3
1.0
5.2687 0.0000 0.0000
0.0000 5.2687 0.0000
0.0000 0.0000 5.2687
Ca Y Sc
1 1 3
direct
0.0000 0.0000 0.0000 Ca
0.5000 0.5000 0.5000 Y
0.0000 0.0000 0.5000 Sc
0.0000 0.5000 0.0000 Sc
0.5000 0.0000 0.0000 Sc
```

Summary:
The calculation puts the total energy at -23.13 eV per cell. The calculation puts the formation energy at 0.87 eV per atom. The symmetry is Pm-3m, No. 221. The magnetization comes out at 0.0 μB per formula unit.



# 17
CaY2Sc | GGA-PBE | relaxed

POSCAR file:
```
CaY2Sc
1.0
1.7736 1.0240 11.7935
-1.7736 1.0240 11.7935
0.0000 -2.0480 11.7935
Ca Y Sc
1 2 1
direct
0.0000 0.0000 0.0000 Ca
0.2421 0.2421 0.2421 Y
0.7579 0.7579 0.7579 Y
0.5000 0.5000 0.5000 Sc
```

Summary:
The calculation puts the total energy at -20.88 eV per cell. The calculation puts the formation energy at 0.10 eV per atom. The symmetry is R-3m, No. 166. The magnetization comes out at 0.0 μB per formula unit.



# 18
CaYSc2 | GGA-PBE | relaxed

POSCAR file:
```
CaYSc2
1.0
1.7352 1.0018 11.4850
-1.7352 1.0018 11.4850
0.0000 -2.0037 11.4850
Ca Y Sc
1 1 2
direct
0.0000 0.0000 0.0000 Ca
0.5000 0.5000 0.5000 Y
0.2455 0.2455 0.2455 Sc
0.7545 0.7545 0.7545 Sc
```

Summary:
The calculation puts the total energy at -20.50 eV per cell. The calculation puts the formation energy at 0.16 eV per atom. The symmetry is R-3m, No. 166. The magnetization comes out at 0.0 μB per formula unit.



# 19
CaY4Sc | GGA-PBE | relaxed

POSCAR file:
```
CaY4Sc
1.0
0.0000 4.6609 4.6609
4.6609 0.0000 4.6609
4.6609 4.6609 0.0000
Ca Y Sc
1 4 1
direct
0.0000 0.0000 0.0000 Ca
0.3766 0.3766 0.3766 Y
0.3766 0.3766 0.8701 Y
0.3766 0.8701 0.3766 Y
0.8701 0.3766 0.3766 Y
0.7500 0.7500 0.7500 Sc
```

Summary:
The calculation puts the total energy at -32.46 eV per cell. The calculation puts the formation energy at 0.29 eV per atom. The symmetry is F-43m, No. 216. The magnetization comes out at 0.0 μB per formula unit.



# 20
CaY2Sc | GGA-PBE | relaxed

POSCAR file:
```
CaY2Sc
1.0
3.8538 0.0000 0.0000
0.0000 3.8538 0.0000
0.0000 0.0000 8.8657
Ca Y Sc
1 2 1
direct
0.0000 0.0000 0.0000 Ca
0.5000 0.5000 0.2955 Y
0.5000 0.5000 0.7045 Y
0.0000 0.0000 0.5000 Sc
```

Summary:
The calculation puts the total energy at -20.99 eV per cell. The calculation puts the formation energy at 0.07 eV per atom. The symmetry is P4/mmm, No. 123. The magnetization comes out at 0.0 μB per formula unit.



# 21
CaYSc2 | GGA-PBE | relaxed

POSCAR file:
```
CaYSc2
1.0
0.0000 3.8944 3.8944
3.8944 0.0000 3.8944
3.8944 3.8944 0.0000
Ca Y Sc
1 1 2
direct
0.0000 0.0000 0.0000 Ca
0.2500 0.2500 0.2500 Y
0.5000 0.5000 0.5000 Sc
0.7500 0.7500 0.7500 Sc
```

Summary:
The calculation puts the total energy at -20.25 eV per cell. The calculation puts the formation energy at 0.22 eV per atom. The symmetry is F-43m, No. 216. The magnetization comes out at 0.0 μB per formula unit.



# 22
CaYSc2 | GGA-PBE | relaxed

POSCAR file:
```
CaYSc2
1.0
0.0000 3.8991 3.8991
3.8991 0.0000 3.8991
3.8991 3.8991 0.0000
Ca Y Sc
1 1 2
direct
0.0000 0.0000 0.0000 Ca
0.5000 0.5000 0.5000 Y
0.2500 0.2500 0.2500 Sc
0.7500 0.7500 0.7500 Sc
```

Summary:
The calculation puts the total energy at -20.22 eV per cell. The calculation puts the formation energy at 0.23 eV per atom. The symmetry is Fm-3m, No. 225. The magnetization comes out at 1.5 μB per formula unit.



# 23
CaYSc2 | GGA-PBE | relaxed

POSCAR file:
```
CaYSc2
1.0
5.7867 -1.7456 0.0000
5.7867 1.7456 0.0000
-1.2680 0.0000 5.8841
Ca Y Sc
1 1 2
direct
0.0000 0.0000 0.0000 Ca
0.7669 0.7669 0.2894 Y
0.2422 0.2422 0.7487 Sc
0.5127 0.5127 0.5118 Sc
```

Summary:
The calculation puts the total energy at -20.47 eV per cell. The calculation puts the formation energy at 0.16 eV per atom. The symmetry is Cm, No. 8. The magnetization comes out at 0.0 μB per formula unit.



# 24
CaYSc2 | GGA-PBE | relaxed

POSCAR file:
```
CaYSc2
1.0
1.7326 1.0003 11.4617
-1.7326 1.0003 11.4617
0.0000 -2.0006 11.4617
Ca Y Sc
1 1 2
direct
0.0000 0.0000 0.0000 Ca
0.1661 0.1661 0.1661 Y
0.5788 0.5788 0.5788 Sc
0.7536 0.7536 0.7536 Sc
```

Summary:
The calculation puts the total energy at -20.54 eV per cell. The calculation puts the formation energy at 0.15 eV per atom. The symmetry is R3m, No. 160. The magnetization comes out at 0.1 μB per formula unit.



# 25
CaYSc2 | GGA-PBE | relaxed

POSCAR file:
```
CaYSc2
1.0
4.9325 0.0000 0.0000
0.0000 4.9325 0.0000
0.0000 0.0000 4.9001
Ca Y Sc
1 1 2
direct
0.0000 0.0000 0.0000 Ca
0.5000 0.5000 0.0000 Y
0.0000 0.5000 0.5000 Sc
0.5000 0.0000 0.5000 Sc
```

Summary:
The calculation puts the total energy at -20.29 eV per cell. The calculation puts the formation energy at 0.21 eV per atom. The symmetry is P4/mmm, No. 123. The magnetization comes out at 1.5 μB per formula unit.



# 26
CaY2Sc | GGA-PBE | relaxed

POSCAR file:
```
CaY2Sc
1.0
-2.5381 2.5381 4.9193
2.5381 -2.5381 4.9193
2.5381 2.5381 -4.9193
Ca Y Sc
1 2 1
direct
0.0000 0.0000 0.0000 Ca
0.2500 0.7500 0.5000 Y
0.7500 0.2500 0.5000 Y
0.5000 0.5000 0.0000 Sc
```

Summary:
The calculation puts the total energy at -20.59 eV per cell. The calculation puts the formation energy at 0.17 eV per atom. The symmetry is I4/mmm, No. 139. The magnetization comes out at 0.0 μB per formula unit.



# 27
Ca2YSc2 | GGA-PBE | relaxed

POSCAR file:
```
Ca2YSc2
1.0
9.2151 0.0000 0.0000
0.0000 9.2151 0.0000
0.0000 0.0000 3.7680
Ca Y Sc
4 2 4
direct
0.1755 0.3245 0.0000 Ca
0.3245 0.8245 0.0000 Ca
0.6755 0.1755 0.0000 Ca
0.8245 0.6755 0.0000 Ca
0.0000 0.0000 0.5000 Y
0.5000 0.5000 0.5000 Y
0.1200 0.6200 0.5000 Sc
0.3800 0.1200 0.5000 Sc
0.6200 0.8800 0.5000 Sc
0.8800 0.3800 0.5000 Sc
```

Summary:
The calculation puts the total energy at -43.40 eV per cell. The calculation puts the formation energy at 0.29 eV per atom. The symmetry is P4/mbm, No. 127. The magnetization comes out at 1.0 μB per formula unit.



# 28
CaYSc2 | GGA-PBE | relaxed

POSCAR file:
```
CaYSc2
1.0
3.4889 0.0000 0.0000
0.0000 3.4889 0.0000
0.0000 0.0000 9.9019
Ca Y Sc
1 1 2
direct
0.0000 0.0000 0.0000 Ca
0.0000 0.0000 0.5000 Y
0.5000 0.5000 0.2699 Sc
0.5000 0.5000 0.7301 Sc
```

Summary:
The calculation puts the total energy at -20.54 eV per cell. The calculation puts the formation energy at 0.15 eV per atom. The symmetry is P4/mmm, No. 123. The magnetization comes out at 0.0 μB per formula unit.



# 29
CaY2Sc | GGA-PBE | relaxed

POSCAR file:
```
CaY2Sc
1.0
0.0000 3.9835 3.9835
3.9835 0.0000 3.9835
3.9835 3.9835 0.0000
Ca Y Sc
1 2 1
direct
0.0000 0.0000 0.0000 Ca
0.2500 0.2500 0.2500 Y
0.7500 0.7500 0.7500 Y
0.5000 0.5000 0.5000 Sc
```

Summary:
The calculation puts the total energy at -20.58 eV per cell. The calculation puts the formation energy at 0.17 eV per atom. The symmetry is Fm-3m, No. 225. The magnetization comes out at 0.0 μB per formula unit.



# 30
CaY2Sc | GGA-PBE | relaxed

POSCAR file:
```
CaY2Sc
1.0
-2.3577 2.3577 11.9507
2.3577 -2.3577 11.9507
2.3577 2.3577 -11.9507
Ca Y Sc
2 4 2
direct
0.0000 0.0000 0.0000 Ca
0.7500 0.2500 0.5000 Ca
0.1348 0.6250 0.0098 Y
0.3750 0.3848 0.5098 Y
0.6152 0.1250 0.9902 Y
0.8750 0.8652 0.4902 Y
0.2500 0.7500 0.5000 Sc
0.5000 0.5000 0.0000 Sc
```

Summary:
The calculation puts the total energy at -38.46 eV per cell. The calculation puts the formation energy at 0.51 eV per atom. The symmetry is I-42d, No. 122. The magnetization comes out at 2.4 μB per formula unit.